No. 1
Computed, not measured: a relaxed structure of K3YOs2O9 at the PBE level of DFT.

```
K3YOs2O9
1.0
5.740 0.000 0.000
-2.870 4.971 0.000
0.000 0.000 7.116
K Y Os O
3 1 2 9
direct
0.000 0.000 0.000 K
0.333 0.667 0.664 K
0.667 0.333 0.336 K
0.000 0.000 0.500 Y
0.333 0.667 0.153 Os
0.667 0.333 0.847 Os
0.000 0.500 0.000 O
0.179 0.357 0.309 O
0.179 0.821 0.309 O
0.357 0.179 0.691 O
0.500 0.000 0.000 O
0.500 0.500 0.000 O
0.643 0.821 0.309 O
0.821 0.179 0.691 O
0.821 0.643 0.691 O
```

Output
The calculation puts the formation energy from raw total energies at -166 kJ/mol of atoms. The calculation puts the theoretical density at 5.975 g/cm³. Its space group is P-3m1, No. 164.

No. 2
Computed, not measured: a relaxed structure of KY2OsO8 at the PBE level of DFT.

```
KY2OsO8
1.0
4.312 0.000 0.000
0.197 5.219 0.000
1.847 -0.022 6.943
K Y Os O
1 2 1 8
direct
0.000 0.000 0.000 K
0.407 0.516 0.278 Y
0.593 0.484 0.722 Y
0.000 0.000 0.500 Os
0.178 0.303 0.581 O
0.219 0.782 0.629 O
0.242 0.495 0.008 O
0.338 0.968 0.275 O
0.662 0.032 0.725 O
0.758 0.505 0.992 O
0.781 0.218 0.371 O
0.822 0.697 0.419 O
```

Output
The calculation puts the formation energy from raw total energies at -186 kJ/mol of atoms. The calculation puts the theoretical density at 5.687 g/cm³. Its space group is P-1, No. 2.

No. 3
Computed, not measured: a relaxed structure of KYOs2O8 at the PBE level of DFT.

```
KYOs2O8
1.0
5.997 0.000 0.000
-2.998 5.193 0.000
0.000 0.000 7.633
K Y Os O
1 1 2 8
direct
0.000 0.000 0.000 K
0.000 0.000 0.500 Y
0.333 0.667 0.768 Os
0.667 0.333 0.232 Os
0.169 0.337 0.686 O
0.169 0.831 0.686 O
0.333 0.667 0.999 O
0.337 0.169 0.314 O
0.663 0.831 0.686 O
0.667 0.333 0.001 O
0.831 0.169 0.314 O
0.831 0.663 0.314 O
```

Output
The calculation puts the formation energy from raw total energies at -148 kJ/mol of atoms. The calculation puts the theoretical density at 4.446 g/cm³. Its space group is P-3m1, No. 164.

No. 4
Computed, not measured: a relaxed structure of K2YOs3O12 at the PBE level of DFT.

```
K2YOs3O12
1.0
3.667 2.117 6.177
-3.667 2.117 6.177
0.000 -4.234 6.177
K Y Os O
2 1 3 12
direct
0.134 0.134 0.134 K
0.866 0.866 0.866 K
0.500 0.500 0.500 Y
0.000 0.500 0.500 Os
0.500 0.000 0.500 Os
0.500 0.500 0.000 Os
0.134 0.584 0.584 O
0.199 0.199 0.577 O
0.199 0.577 0.199 O
0.416 0.416 0.866 O
0.416 0.866 0.416 O
0.423 0.801 0.801 O
0.577 0.199 0.199 O
0.584 0.134 0.584 O
0.584 0.584 0.134 O
0.801 0.423 0.801 O
0.801 0.801 0.423 O
0.866 0.416 0.416 O
```

Output
The calculation puts the formation energy from raw total energies at -142 kJ/mol of atoms. The calculation puts the theoretical density at 5.366 g/cm³. Its space group is R-3m, No. 166.

No. 5
Computed, not measured: a relaxed structure of K3Y3OsO8 at the PBE level of DFT.

```
K3Y3OsO8
1.0
3.394 1.959 6.270
-3.394 1.959 6.270
0.000 -3.919 6.270
K Y Os O
3 3 1 8
direct
0.000 0.500 0.500 K
0.500 0.000 0.500 K
0.500 0.500 0.000 K
0.000 0.000 0.500 Y
0.000 0.500 0.000 Y
0.500 0.000 0.000 Y
0.500 0.500 0.500 Os
0.228 0.228 0.228 O
0.251 0.711 0.711 O
0.289 0.289 0.749 O
0.289 0.749 0.289 O
0.711 0.251 0.711 O
0.711 0.711 0.251 O
0.749 0.289 0.289 O
0.772 0.772 0.772 O
```

Output
The calculation puts the formation energy from raw total energies at -225 kJ/mol of atoms. The calculation puts the theoretical density at 4.661 g/cm³. Its space group is R-3m, No. 166.

No. 6
Computed, not measured: a relaxed structure of K2YOsO6 at the PBE level of DFT.

```
K2YOsO6
1.0
0.000 4.165 4.165
4.165 0.000 4.165
4.165 4.165 0.000
K Y Os O
2 1 1 6
direct
0.250 0.250 0.250 K
0.750 0.750 0.750 K
0.000 0.000 0.000 Y
0.500 0.500 0.500 Os
0.271 0.271 0.729 O
0.271 0.729 0.271 O
0.271 0.729 0.729 O
0.729 0.271 0.271 O
0.729 0.271 0.729 O
0.729 0.729 0.271 O
```

Output
The calculation puts the formation energy from raw total energies at -186 kJ/mol of atoms. The calculation puts the theoretical density at 5.211 g/cm³. Its space group is Fm-3m, No. 225.